Below is a geometry-optimized Cs2SnBi2 structure, with properties calculated at the PBE level.

## Properties
For the calculated formation energy, the calculation gives -140 meV per atom. Its energy above the most stable polymorph in this dataset is 161 meV/atom. The value obtained for the total energy is -0.2083 Ry per atom. The volume is 532.7 Å³/cell. As for the symmetry: I4_1/amd.

The structure in POSCAR format:
```
Cs2SnBi2
1.0
-2.540 2.540 20.643
2.540 -2.540 20.643
2.540 2.540 -20.643
Cs Sn Bi
4 2 4
direct
0.051 0.301 0.750
0.301 0.051 0.250
0.699 0.949 0.750
0.949 0.699 0.250
0.125 0.875 0.250
0.875 0.125 0.750
0.166 0.416 0.750
0.416 0.166 0.250
0.584 0.834 0.750
0.834 0.584 0.250
```

---

Below is a geometry-optimized AcTcP2 structure, with properties calculated at the PBE level.

## Properties
For the calculated formation energy, the calculation gives -811 meV per atom. Its energy above the most stable polymorph in this dataset is 0 meV/atom. The value obtained for the total energy is -0.5244 Ry per atom. The volume is 79.5 Å³/cell. As for the symmetry: R-3m.

The structure in POSCAR format:
```
AcTcP2
1.0
2.095 1.210 5.229
-2.095 1.210 5.229
0.000 -2.419 5.229
Ac Tc P
1 1 2
direct
0.000 0.000 0.000
0.500 0.500 0.500
0.208 0.208 0.208
0.792 0.792 0.792
```

---

Below is a geometry-optimized MnRe3Au structure, with properties calculated at the PBE level.

## Properties
For the calculated formation energy, the calculation gives 1518 meV per atom. Its energy above the most stable polymorph in this dataset is 0 meV/atom. The value obtained for the total energy is -0.6203 Ry per atom. The volume is 86.4 Å³/cell. As for the symmetry: Pm-3m.

The structure in POSCAR format:
```
MnRe3Au
1.0
4.421 0.000 0.000
0.000 4.421 0.000
0.000 0.000 4.421
Mn Re Au
1 3 1
direct
0.000 0.000 0.000
0.000 0.000 0.500
0.000 0.500 0.000
0.500 0.000 0.000
0.500 0.500 0.500
```

---

Below is a geometry-optimized Cs2PuAgO4 structure, with properties calculated at the PBE level.

## Properties
The value obtained for the total energy is -0.4797 Ry per atom. The volume is 160.3 Å³/cell. The calculation puts the formation energy from raw total energies at -1.687 eV per atom. As for the symmetry: P2/m.

The structure in POSCAR format:
```
Cs2PuAgO4
1.0
6.820 0.000 0.000
0.000 3.541 0.000
-3.080 0.000 6.639
Cs Pu Ag O
2 1 1 4
direct
0.000 0.000 0.000
0.500 0.500 0.000
0.000 0.500 0.500
0.500 0.000 0.500
0.166 0.000 0.695
0.222 0.500 0.377
0.778 0.500 0.623
0.834 0.000 0.305
```

---

The lowest volume belongs to which entry?
AcTcP2

---

Which of these has the lowest volume?
AcTcP2

---

What is the volume in the third record?
86.4 Å³/cell